! NaFeB2Mo | Alexandria via LeMat-Bulk | GGA-PBE | optimized geometry; values from VASP
&SYSTEM
  ibrav = 0, nat = 5, ntyp = 4
/
ATOMIC_SPECIES
B 10.81 B.upf
Mo 95.94 Mo.upf
Na 22.99 Na.upf
Fe 55.84 Fe.upf
CELL_PARAMETERS angstrom
-2.4181 -1.7216 3.0562
3.2216 -3.3949 0.6365
1.9647 2.4103 2.9123
ATOMIC_POSITIONS crystal
B 0.0000 0.0000 0.5000
Mo 0.0000 0.0000 0.0000
Na 0.5000 0.5000 0.5000
Fe 0.0000 0.5000 0.0000
B 0.5000 0.0000 0.0000
! * formation enthalpy at 0 K: 1.241 eV/atom
! * N(E_F): 6.41 states/eV/f.u.
! * total magnetization: 3.3 μB per formula unit

---

! FeNiB2Mo | Alexandria via LeMat-Bulk | GGA-PBE | optimized geometry; values from VASP
&SYSTEM
  ibrav = 0, nat = 5, ntyp = 4
/
ATOMIC_SPECIES
Ni 58.69 Ni.upf
B 10.81 B.upf
Mo 95.94 Mo.upf
Fe 55.84 Fe.upf
CELL_PARAMETERS angstrom
4.0227 0.0000 0.0000
0.0000 4.4907 0.0000
0.0000 0.0000 4.0227
ATOMIC_POSITIONS crystal
Ni 0.0000 0.5000 0.0000
B 0.5000 0.0000 0.0000
Mo 0.0000 0.0000 0.0000
Fe 0.5000 0.5000 0.5000
B 0.0000 0.0000 0.5000
! * formation enthalpy at 0 K: 1.794 eV/atom
! * N(E_F): 7.13 states/eV/f.u.
! * total magnetization: 0.3 μB per formula unit

---

! Fe5Re2B2Mo | Alexandria via LeMat-Bulk | GGA-PBE | optimized geometry; values from VASP
&SYSTEM
  ibrav = 0, nat = 20, ntyp = 4
/
ATOMIC_SPECIES
B 10.81 B.upf
Fe 55.84 Fe.upf
Mo 95.94 Mo.upf
Re 186.21 Re.upf
CELL_PARAMETERS angstrom
2.8778 0.0000 0.0000
0.0000 8.6886 0.0000
0.0000 0.0000 8.6886
ATOMIC_POSITIONS crystal
B 0.0000 0.3805 0.1195
Fe 0.5000 0.7209 0.4332
Fe 0.5000 0.2791 0.5668
Fe 0.5000 0.0668 0.7791
Mo 0.0000 0.5000 0.5000
Fe 0.5000 0.7791 0.9332
Mo 0.0000 0.0000 0.0000
Fe 0.5000 0.5668 0.7209
B 0.0000 0.8805 0.3805
Fe 0.5000 0.9332 0.2209
B 0.0000 0.6195 0.8805
Fe 0.5000 0.5000 0.0000
Re 0.0000 0.8213 0.6787
Re 0.0000 0.3213 0.8213
Fe 0.5000 0.4332 0.2791
Fe 0.5000 0.2209 0.0668
Re 0.0000 0.6787 0.1787
Re 0.0000 0.1787 0.3213
Fe 0.5000 0.0000 0.5000
B 0.0000 0.1195 0.6195
! * formation enthalpy at 0 K: -0.071 eV/atom
! * N(E_F): 8.69 states/eV/f.u.
! * total magnetization: 4.8 μB per formula unit

---

! FeBSbMo2 | Alexandria via LeMat-Bulk | GGA-PBE | optimized geometry; values from VASP
&SYSTEM
  ibrav = 0, nat = 5, ntyp = 4
/
ATOMIC_SPECIES
Mo 95.94 Mo.upf
Fe 55.84 Fe.upf
Sb 121.76 Sb.upf
B 10.81 B.upf
CELL_PARAMETERS angstrom
4.4870 0.0000 0.0000
0.0000 4.5721 0.0000
0.0000 0.0000 4.4870
ATOMIC_POSITIONS crystal
Mo 0.0000 0.0000 0.5000
Fe 0.0000 0.0000 0.0000
Mo 0.5000 0.0000 0.0000
Sb 0.0000 0.5000 0.0000
B 0.5000 0.5000 0.5000
! * N(E_F): 5.39 states/eV/f.u.
! * ΔE_f (raw): 1779 meV/atom
! * total magnetization: 0.9 μB per formula unit

---

! Fe2TcBMo | Alexandria via LeMat-Bulk | GGA-PBE | optimized geometry; values from VASP
&SYSTEM
  ibrav = 0, nat = 5, ntyp = 4
/
ATOMIC_SPECIES
B 10.81 B.upf
Tc 98.00 Tc.upf
Fe 55.84 Fe.upf
Mo 95.94 Mo.upf
CELL_PARAMETERS angstrom
-3.5936 -0.4758 1.1923
0.9847 -3.6294 1.5197
0.8886 1.6358 3.3311
ATOMIC_POSITIONS crystal
B 0.0000 0.0000 0.0000
Tc 0.0000 0.5000 0.0000
Fe 0.5000 0.0000 0.0000
Mo 0.5000 0.5000 0.5000
Fe 0.0000 0.0000 0.5000
! * formation enthalpy at 0 K: 0.072 eV/atom
! * N(E_F): 2.45 states/eV/f.u.
! * total magnetization: 0.0 μB per formula unit

---

! Ti2Fe5B2Mo | Alexandria via LeMat-Bulk | GGA-PBE | optimized geometry; values from VASP
&SYSTEM
  ibrav = 0, nat = 20, ntyp = 4
/
ATOMIC_SPECIES
Fe 55.84 Fe.upf
B 10.81 B.upf
Mo 95.94 Mo.upf
Ti 47.87 Ti.upf
CELL_PARAMETERS angstrom
2.9123 0.0000 0.0000
0.0000 8.6556 0.0000
0.0000 0.0000 8.6556
ATOMIC_POSITIONS crystal
Fe 0.5000 0.5000 0.0000
B 0.0000 0.3799 0.1201
Fe 0.5000 0.2812 0.5706
Mo 0.0000 0.0000 0.0000
Fe 0.5000 0.9294 0.2188
Ti 0.0000 0.3260 0.8260
Ti 0.0000 0.8260 0.6740
Fe 0.5000 0.7812 0.9294
Fe 0.5000 0.0000 0.5000
B 0.0000 0.6201 0.8799
Fe 0.5000 0.4294 0.2812
Fe 0.5000 0.5706 0.7188
Ti 0.0000 0.6740 0.1740
Fe 0.5000 0.7188 0.4294
Ti 0.0000 0.1740 0.3260
Mo 0.0000 0.5000 0.5000
Fe 0.5000 0.0706 0.7812
Fe 0.5000 0.2188 0.0706
B 0.0000 0.8799 0.3799
B 0.0000 0.1201 0.6201
! * formation enthalpy at 0 K: -0.417 eV/atom
! * N(E_F): 3.40 states/eV/f.u.
! * total magnetization: 0.0 μB per formula unit

---

! Fe2BN | Alexandria via LeMat-Bulk | GGA-PBE | optimized geometry; values from VASP
&SYSTEM
  ibrav = 0, nat = 8, ntyp = 3
/
ATOMIC_SPECIES
Fe 55.84 Fe.upf
N 14.01 N.upf
B 10.81 B.upf
CELL_PARAMETERS angstrom
-3.7326 2.1927 0.1622
-2.1282 -3.6833 0.8189
-2.3885 -0.1314 4.6602
ATOMIC_POSITIONS crystal
Fe 0.6506 0.1250 0.2500
N 0.7500 0.2500 0.5000
B 0.5000 0.5000 0.0000
Fe 0.3750 0.3494 0.7500
N 0.0000 0.0000 0.0000
Fe 0.0994 0.6250 0.2500
B 0.2500 0.7500 0.5000
Fe 0.8750 0.9006 0.7500
! * N(E_F): 0.00 states/eV/f.u.
! * energy relative to the lowest polymorph listed for this composition: 0 meV per atom
! * ΔE_f (raw): 195 meV/atom
! * total magnetization: 0.0 μB per formula unit

---

! FeB2N | Alexandria via LeMat-Bulk | GGA-PBE | optimized geometry; values from VASP
&SYSTEM
  ibrav = 0, nat = 8, ntyp = 3
/
ATOMIC_SPECIES
N 14.01 N.upf
B 10.81 B.upf
Fe 55.84 Fe.upf
CELL_PARAMETERS angstrom
-2.2278 1.1740 3.8741
3.5686 -1.5181 2.5122
1.9296 2.5976 3.0780
ATOMIC_POSITIONS crystal
N 0.2500 0.7500 0.5000
B 0.3750 0.4684 0.7500
B 0.2184 0.6250 0.2500
Fe 0.7500 0.2500 0.5000
B 0.8750 0.7816 0.7500
N 0.5000 0.5000 0.0000
B 0.5316 0.1250 0.2500
Fe 0.0000 0.0000 0.0000
! * N(E_F): 3.01 states/eV/f.u.
! * ΔE_f (raw): 229 meV/atom
! * total magnetization: 2.3 μB per formula unit

---

! Fe2BN | Alexandria via LeMat-Bulk | GGA-PBE | optimized geometry; values from VASP
&SYSTEM
  ibrav = 0, nat = 4, ntyp = 3
/
ATOMIC_SPECIES
B 10.81 B.upf
N 14.01 N.upf
Fe 55.84 Fe.upf
CELL_PARAMETERS angstrom
0.0000 2.5010 2.5010
2.5010 0.0000 2.5010
2.5010 2.5010 0.0000
ATOMIC_POSITIONS crystal
B 0.0000 0.0000 0.0000
N 0.5000 0.5000 0.5000
Fe 0.2500 0.2500 0.2500
Fe 0.7500 0.7500 0.7500
! * N(E_F): 3.27 states/eV/f.u.
! * energy relative to the lowest polymorph listed for this composition: 420 meV per atom
! * ΔE_f (raw): 615 meV/atom
! * total magnetization: 0.0 μB per formula unit

---

! FeB3N3 | Alexandria via LeMat-Bulk | GGA-PBE | optimized geometry; values from VASP
&SYSTEM
  ibrav = 0, nat = 14, ntyp = 3
/
ATOMIC_SPECIES
B 10.81 B.upf
N 14.01 N.upf
Fe 55.84 Fe.upf
CELL_PARAMETERS angstrom
4.5951 0.0000 0.0000
0.0000 4.5951 0.0000
0.0000 0.0000 4.5951
ATOMIC_POSITIONS crystal
B 0.0000 0.5000 0.7500
N 0.5000 0.0000 0.2500
N 0.2500 0.5000 0.0000
N 0.0000 0.7500 0.5000
B 0.0000 0.5000 0.2500
N 0.5000 0.0000 0.7500
N 0.0000 0.2500 0.5000
Fe 0.0000 0.0000 0.0000
Fe 0.5000 0.5000 0.5000
B 0.5000 0.2500 0.0000
B 0.7500 0.0000 0.5000
B 0.5000 0.7500 0.0000
N 0.7500 0.5000 0.0000
B 0.2500 0.0000 0.5000
! * N(E_F): 4.30 states/eV/f.u.
! * ΔE_f (raw): 243 meV/atom
! * total magnetization: 2.4 μB per formula unit

---

! FeB6N6 | Alexandria via LeMat-Bulk | GGA-PBE | optimized geometry; values from VASP
&SYSTEM
  ibrav = 0, nat = 13, ntyp = 3
/
ATOMIC_SPECIES
N 14.01 N.upf
B 10.81 B.upf
Fe 55.84 Fe.upf
CELL_PARAMETERS angstrom
4.5255 0.0000 0.0000
0.0000 4.5255 0.0000
0.0000 0.0000 4.5255
ATOMIC_POSITIONS crystal
N 0.5000 0.0000 0.2482
B 0.5000 0.2557 0.0000
Fe 0.5000 0.5000 0.5000
B 0.5000 0.7443 0.0000
N 0.0000 0.7518 0.5000
B 0.2557 0.0000 0.5000
N 0.2482 0.5000 0.0000
B 0.0000 0.5000 0.2557
N 0.7518 0.5000 0.0000
B 0.0000 0.5000 0.7443
N 0.5000 0.0000 0.7518
N 0.0000 0.2482 0.5000
B 0.7443 0.0000 0.5000
! * N(E_F): 3.51 states/eV/f.u.
! * ΔE_f (raw): -279 meV/atom
! * total magnetization: 2.3 μB per formula unit